Computed, not measured: a relaxed TeAs2CSe crystal at the PBE level of DFT.

Its total energy is -0.14693 hartree per atom. The calculation puts the total magnetization at 0.00 μB/f.u. Its theoretical density is 6.63 Mg/m³. For the raw formation energy, the calculation gives 1.0318 eV per atom. As for the calculated volume: 18.5 Å³ per atom. Its energy above the most stable polymorph in this dataset is 0.00 eV per formula unit.

The structure belongs to space group P4/mmm (No. 123); the cell edges are 4.6484, 4.6484 and 4.2730 Å and the angles 90.00°, 90.00° and 90.00°. The inequivalent atoms are Te at (0.0000, 0.0000, 0.0000), As at (0.0000, 0.5000, 0.5000), C at (0.5000, 0.5000, 0.5000) and Se at (0.5000, 0.5000, 0.0000).